! K2PmV3F12 (PBE+U, optimized geometry); values from VASP
! Calculated density   3.39 Mg/m³
! Total energy   -5.9115 eV/atom
! Space group   R-3m
&SYSTEM
  ibrav = 0, nat = 18, ntyp = 4
/
ATOMIC_SPECIES
F 19.00 F.upf
V 50.94 V.upf
Pm 145.00 Pm.upf
K 39.10 K.upf
CELL_PARAMETERS angstrom
-4.632 4.916 2.676
-6.926 -0.704 -2.078
-4.607 -2.412 5.074
ATOMIC_POSITIONS crystal
F 0.281 0.281 0.895
F 0.895 0.281 0.281
F 0.281 0.895 0.281
F 0.105 0.719 0.719
F 0.119 0.119 0.621
F 0.881 0.379 0.881
F 0.719 0.105 0.719
F 0.881 0.881 0.379
V 0.000 0.000 0.500
Pm 0.000 0.000 0.000
F 0.379 0.881 0.881
F 0.719 0.719 0.105
K 0.622 0.622 0.622
K 0.378 0.378 0.378
V 0.500 0.000 0.000
V 0.000 0.500 0.000
F 0.119 0.621 0.119
F 0.621 0.119 0.119